A relaxed BaIn2Ag crystal. Source: the Alexandria database, functional PBE-GGA.

The magnetization is 0.00 Bohr magnetons per cell. Its total energy is -2.564 eV/atom. Its mass density is 6.38 g/cm3.

a = 6.504 Å, b = 11.968 Å, c = 3.606 Å
α = 90.00°, β = 118.35°, γ = 90.00°
Space group C2/m (No. 12)
Inequivalent atoms, fractional coordinates:
Ba (0.000, 0.000, 0.000) [2 per cell]
In (0.250, 0.250, 0.500) [4 per cell]
Ag (0.000, 0.500, 0.000) [2 per cell]